## PaCu2NiS4 (PBE-GGA)

Data for PaCu2NiS4 after structural relaxation.

Cell lengths 5.701, 6.875, 7.977 Å; angles 90.00, 90.00, 90.00 degrees
Last column: magnetic moment on the atom in μB.
Sites, in units of the cell vectors:
S  0.376  0.219  0.000  0.06
S  0.400  0.658  0.720  0.05
S  0.400  0.658  0.280  0.05
S  0.410  0.165  0.500  0.03
S  0.910  0.835  0.000  0.03
S  0.900  0.342  0.220  0.05
S  0.900  0.342  0.780  0.05
S  0.876  0.781  0.500  0.06
Cu  0.507  0.333  0.258  0.06
Cu  0.007  0.667  0.758  0.06
Cu  0.007  0.667  0.242  0.06
Cu  0.507  0.333  0.742  0.06
Pa  0.406  0.844  0.000  0.03
Pa  0.906  0.156  0.500  0.03
Ni  0.495  0.849  0.500  0.60
Ni  0.995  0.151  0.000  0.60

- symmetry = Pmn2_1, No. 31
- total DFT energy (no corrections) (eV/atom) = -5.69
- calculated volume (Å³ per cell) = 312.6
- energy relative to the elements, uncorrected (eV/atom) = -0.691
- total magnetization (μB/atom) = 0.1302
- density of states at the Fermi level (states/eV/f.u.) = 5.8

***

## PaCuNiS3 (PBE-GGA)

Data for PaCuNiS3 after structural relaxation.

Cell lengths 3.768, 7.910, 7.599 Å; angles 104.01, 90.00, 90.00 degrees
Last column: magnetic moment on the atom in μB.
Sites, in units of the cell vectors:
Pa  0.250  0.174  0.243  0.09
Pa  0.750  0.826  0.757  0.09
S  0.250  0.766  0.467  0.00
S  0.250  0.072  0.865  0.00
S  0.250  0.615  0.872  0.00
S  0.750  0.385  0.128  0.00
S  0.750  0.234  0.533  0.00
S  0.750  0.928  0.135  0.00
Ni  0.750  0.906  0.416  -0.02
Ni  0.250  0.094  0.584  -0.02
Cu  0.750  0.440  0.810  0.00
Cu  0.250  0.560  0.190  0.00

- symmetry = P2_1/m, No. 11
- total DFT energy (no corrections) (eV/atom) = -6.22
- calculated volume (Å³ per cell) = 219.7
- energy relative to the elements, uncorrected (eV/atom) = -0.929
- total magnetization (μB/atom) = 0.0118
- density of states at the Fermi level (states/eV/f.u.) = 1.4

***

## PaCuSi2Ni (PBE-GGA)

Data for PaCuSi2Ni after structural relaxation.

Cell lengths 4.003, 4.003, 5.580 Å; angles 111.02, 111.02, 90.00 degrees
Sites, in units of the cell vectors:
Si  0.622  0.622  0.244
Si  0.378  0.378  0.756
Pa  0.000  0.000  0.000
Cu  0.250  0.750  0.500
Ni  0.750  0.250  0.500

- symmetry = I-4m2, No. 119
- total DFT energy (no corrections) (eV/atom) = -6.67
- calculated volume (Å³ per cell) = 77.1
- energy relative to the elements, uncorrected (eV/atom) = -0.630
- total magnetization (μB/atom) = 0.0000
- density of states at the Fermi level (states/eV/f.u.) = 2.8

***

## PaCuNiSn (PBE-GGA)

Data for PaCuNiSn after structural relaxation.

Cell lengths 4.675, 4.675, 4.675 Å; angles 60.00, 60.00, 60.00 degrees
Sites, in units of the cell vectors:
Ni  0.000  0.000  0.000
Pa  0.750  0.750  0.750
Sn  0.250  0.250  0.250
Cu  0.500  0.500  0.500

- symmetry = F-43m, No. 216
- total DFT energy (no corrections) (eV/atom) = -6.14
- calculated volume (Å³ per cell) = 72.3
- total magnetization (μB/atom) = 0.0000
- density of states at the Fermi level (states/eV/f.u.) = 2.3
- ΔE_f (kJ per mole of atoms) = -28.4

***

## TbPaCuNi (PBE-GGA)

Data for TbPaCuNi after structural relaxation.

Cell lengths 4.827, 4.827, 4.827 Å; angles 60.00, 60.00, 60.00 degrees
Sites, in units of the cell vectors:
Tb  0.500  0.500  0.500
Ni  0.750  0.750  0.750
Pa  0.000  0.000  0.000
Cu  0.250  0.250  0.250

- symmetry = F-43m, No. 216
- total DFT energy (no corrections) (eV/atom) = -6.07
- calculated volume (Å³ per cell) = 79.5
- total magnetization (μB/atom) = 0.0000
- density of states at the Fermi level (states/eV/f.u.) = 5.1
- ΔE_f (kJ per mole of atoms) = -7.0

***

## TmPaCuNi (PBE-GGA)

Data for TmPaCuNi after structural relaxation.

Cell lengths 4.792, 4.792, 4.792 Å; angles 60.00, 60.00, 60.00 degrees
Sites, in units of the cell vectors:
Pa  0.750  0.750  0.750
Ni  0.000  0.000  0.000
Cu  0.500  0.500  0.500
Tm  0.250  0.250  0.250

- symmetry = F-43m, No. 216
- total DFT energy (no corrections) (eV/atom) = -6.08
- calculated volume (Å³ per cell) = 77.8
- total magnetization (μB/atom) = 0.0001
- density of states at the Fermi level (states/eV/f.u.) = 5.6
- ΔE_f (kJ per mole of atoms) = -11.7

***

## YPaCuNi (PBE-GGA)

Data for YPaCuNi after structural relaxation.

Cell lengths 4.832, 4.832, 4.832 Å; angles 60.00, 60.00, 60.00 degrees
Sites, in units of the cell vectors:
Pa  0.500  0.500  0.500
Ni  0.250  0.250  0.250
Y  0.000  0.000  0.000
Cu  0.750  0.750  0.750

- symmetry = F-43m, No. 216
- total DFT energy (no corrections) (eV/atom) = -6.52
- calculated volume (Å³ per cell) = 79.8
- total magnetization (μB/atom) = 0.0000
- density of states at the Fermi level (states/eV/f.u.) = 5.4
- ΔE_f (kJ per mole of atoms) = -6.2

***

## PaZnCuNi (PBE-GGA)

Data for PaZnCuNi after structural relaxation.

Cell lengths 4.547, 4.547, 4.547 Å; angles 60.00, 60.00, 60.00 degrees
Sites, in units of the cell vectors:
Ni  0.750  0.750  0.750
Pa  0.000  0.000  0.000
Zn  0.500  0.500  0.500
Cu  0.250  0.250  0.250

- symmetry = F-43m, No. 216
- total DFT energy (no corrections) (eV/atom) = -5.29
- calculated volume (Å³ per cell) = 66.5
- total magnetization (μB/atom) = 0.0000
- density of states at the Fermi level (states/eV/f.u.) = 4.9
- ΔE_f (kJ per mole of atoms) = -12.1

***

## Pa2ZnCu2Ni5 (PBE-GGA)

Data for Pa2ZnCu2Ni5 after structural relaxation.

Cell lengths 3.510, 9.147, 9.147 Å; angles 90.00, 90.00, 90.00 degrees
Sites, in units of the cell vectors:
Ni  0.500  0.948  0.202
Ni  0.500  0.000  0.500
Ni  0.500  0.500  0.000
Ni  0.500  0.552  0.702
Ni  0.500  0.052  0.798
Ni  0.500  0.202  0.052
Ni  0.500  0.702  0.448
Ni  0.500  0.448  0.298
Ni  0.500  0.298  0.552
Ni  0.500  0.798  0.948
Cu  0.000  0.620  0.880
Cu  0.000  0.380  0.120
Cu  0.000  0.120  0.620
Cu  0.000  0.880  0.380
Zn  0.000  0.500  0.500
Zn  0.000  0.000  0.000
Pa  0.000  0.820  0.680
Pa  0.000  0.180  0.320
Pa  0.000  0.680  0.180
Pa  0.000  0.320  0.820

- symmetry = P4/mbm, No. 127
- total DFT energy (no corrections) (eV/atom) = -5.89
- calculated volume (Å³ per cell) = 293.7
- total magnetization (μB/atom) = 0.0000
- density of states at the Fermi level (states/eV/f.u.) = 6.8
- ΔE_f (kJ per mole of atoms) = -15.1

***

## Cu3NiPb (PBE-GGA)

Data for Cu3NiPb after structural relaxation.

Cell lengths 4.485, 4.485, 4.485 Å; angles 90.00, 90.00, 90.00 degrees
Sites, in units of the cell vectors:
Pb  0.500  0.500  0.500
Cu  0.500  0.000  0.000
Cu  0.000  0.500  0.000
Cu  0.000  0.000  0.500
Ni  0.000  0.000  0.000

- symmetry = Pm-3m, No. 221
- total DFT energy (no corrections) (eV/atom) = -3.77
- E above lowest polymorph (eV per formula unit) = 0.00
- calculated volume (Å³ per cell) = 90.2
- total magnetization (μB/atom) = 0.0000
- density of states at the Fermi level (states/eV/f.u.) = 2.4
- ΔE_f (kJ per mole of atoms) = 56.4

***

## CuNiPb2 (PBE-GGA)

Data for CuNiPb2 after structural relaxation.

Cell lengths 3.272, 3.272, 7.864 Å; angles 90.00, 90.00, 90.00 degrees
Sites, in units of the cell vectors:
Ni  0.500  0.500  0.694
Pb  0.000  0.000  0.918
Pb  0.500  0.500  0.328
Cu  0.000  0.000  0.559

- symmetry = P4mm, No. 99
- total DFT energy (no corrections) (eV/atom) = -4.15
- calculated volume (Å³ per cell) = 84.2
- total magnetization (μB/atom) = 0.0000
- density of states at the Fermi level (states/eV/f.u.) = 1.8
- ΔE_f (kJ per mole of atoms) = 16.6

***

## Cu2NiPb (PBE-GGA)

Data for Cu2NiPb after structural relaxation.

Cell lengths 4.746, 4.746, 4.746 Å; angles 131.03, 130.96, 71.82 degrees
Sites, in units of the cell vectors:
Ni  0.500  0.500  0.000
Pb  0.250  0.750  0.500
Cu  0.750  0.250  0.500
Cu  0.000  0.000  0.000

- symmetry = I-4m2, No. 119
- total DFT energy (no corrections) (eV/atom) = -4.20
- calculated volume (Å³ per cell) = 59.6
- total magnetization (μB/atom) = 0.0000
- density of states at the Fermi level (states/eV/f.u.) = 1.9
- ΔE_f (kJ per mole of atoms) = 21.1

***

## CuNiPb4 (PBE-GGA)

Data for CuNiPb4 after structural relaxation.

Cell lengths 6.272, 6.272, 6.272 Å; angles 60.00, 60.00, 60.00 degrees
Sites, in units of the cell vectors:
Ni  0.000  0.000  0.000
Pb  0.375  0.375  0.375
Pb  0.876  0.375  0.375
Pb  0.375  0.876  0.375
Pb  0.375  0.375  0.876
Cu  0.750  0.750  0.750

- symmetry = F-43m, No. 216
- total DFT energy (no corrections) (eV/atom) = -3.27
- calculated volume (Å³ per cell) = 174.4
- total magnetization (μB/atom) = 0.0008
- density of states at the Fermi level (states/eV/f.u.) = 3.9
- ΔE_f (kJ per mole of atoms) = 82.3